U2Mo: relaxed, GGA-PBE. Values from VASP.

```
&SYSTEM
  ibrav = 0, nat = 3, ntyp = 2
/
ATOMIC_SPECIES
Mo 95.94 Mo.upf
U 238.03 U.upf
CELL_PARAMETERS angstrom
-0.369 2.744 2.024
-3.322 0.171 -0.837
0.756 -4.354 3.137
ATOMIC_POSITIONS angstrom
Mo 0.000 0.000 0.000
U -0.698 -1.858 2.392
U -2.236 0.419 1.931
```

Values from the calculation:
DOS(E_F): 2.31 states/eV/atom
ΔE_f: 0.20 eV/f.u.
DFT total energy: -11.068 eV/atom
Space group: I4/mmm (139)

UMo: relaxed, GGA-PBE. Values from VASP.

```
&SYSTEM
  ibrav = 0, nat = 8, ntyp = 2
/
ATOMIC_SPECIES
U 238.03 U.upf
Mo 95.94 Mo.upf
CELL_PARAMETERS angstrom
2.831 0.000 0.000
0.000 5.311 -0.012
0.000 0.189 9.699
ATOMIC_POSITIONS angstrom
U 0.072 0.752 8.525
U 1.344 0.658 3.675
U 2.759 4.748 1.162
U 1.487 4.842 6.012
Mo 0.707 3.237 8.466
Mo 2.124 2.263 1.220
Mo 2.122 2.357 6.070
Mo 0.709 3.143 3.617
```

Values from the calculation:
DOS(E_F): 1.70 states/eV/atom
ΔE_f: 0.32 eV/f.u.
DFT total energy: -10.898 eV/atom
Space group: P2_1/c (14)

UMo3: relaxed, GGA-PBE. Values from VASP.

```
&SYSTEM
  ibrav = 0, nat = 4, ntyp = 2
/
ATOMIC_SPECIES
U 238.03 U.upf
Mo 95.94 Mo.upf
CELL_PARAMETERS angstrom
3.033 0.000 0.000
0.000 4.367 0.000
0.000 0.000 5.260
ATOMIC_POSITIONS angstrom
U 0.000 0.000 0.074
Mo 0.000 2.184 1.697
Mo 1.516 0.000 2.672
Mo 1.516 2.184 4.325
```

Values from the calculation:
DOS(E_F): 1.28 states/eV/atom
ΔE_f: 1.65 eV/f.u.
DFT total energy: -10.532 eV/atom
Space group: Pmm2 (25)

UMo3: relaxed, GGA-PBE. Values from VASP.

```
&SYSTEM
  ibrav = 0, nat = 4, ntyp = 2
/
ATOMIC_SPECIES
Mo 95.94 Mo.upf
U 238.03 U.upf
CELL_PARAMETERS angstrom
4.614 0.000 0.000
2.307 3.996 0.000
2.307 1.332 3.767
ATOMIC_POSITIONS angstrom
Mo 2.307 1.332 0.942
Mo 6.921 3.996 2.825
Mo 0.000 0.000 0.000
U 4.614 2.664 1.884
```

Values from the calculation:
DOS(E_F): 1.58 states/eV/atom
ΔE_f: 0.79 eV/f.u.
DFT total energy: -10.748 eV/atom
Space group: Fm-3m (225)